Record 1
A geometry-optimized Ba2LaP2N6 structure. Source: Alexandria via LeMat-Bulk, functional PBE.

Cell and atoms, written as CIF:
```
data_Ba2LaP2N6
_chemical_formula_sum 'Ba2 La1 P2 N6'
_cell_length_a 7.327
_cell_length_b 7.327
_cell_length_c 7.327
_cell_angle_alpha 47.85
_cell_angle_beta 47.85
_cell_angle_gamma 47.85
_symmetry_space_group_name_H-M 'P 1'
_symmetry_Int_Tables_number 1
loop_
_symmetry_equiv_pos_as_xyz
'x,y,z'
loop_
_atom_site_label
_atom_site_type_symbol
_atom_site_fract_x
_atom_site_fract_y
_atom_site_fract_z
Ba1 Ba 0.207 0.207 0.207
Ba2 Ba 0.793 0.793 0.793
La1 La 0.000 0.000 0.000
P1 P 0.419 0.419 0.419
P2 P 0.581 0.581 0.581
N1 N 0.266 0.266 0.727
N2 N 0.266 0.727 0.266
N3 N 0.273 0.734 0.734
N4 N 0.727 0.266 0.266
N5 N 0.734 0.273 0.734
N6 N 0.734 0.734 0.273
```

calculated density	4.692	g/cm³
SG	R-3m
total moment	0.0	μB/cell
electronic total energy	-78.6	eV/cell


Record 2
A geometry-optimized IrAu structure. Source: Alexandria via LeMat-Bulk, functional PBE.

Cell and atoms, written as CIF:
```
data_IrAu
_chemical_formula_sum 'Ir8 Au8'
_cell_length_a 7.934
_cell_length_b 7.934
_cell_length_c 7.934
_cell_angle_alpha 90.00
_cell_angle_beta 90.00
_cell_angle_gamma 90.00
_symmetry_space_group_name_H-M 'P 1'
_symmetry_Int_Tables_number 1
loop_
_symmetry_equiv_pos_as_xyz
'x,y,z'
loop_
_atom_site_label
_atom_site_type_symbol
_atom_site_fract_x
_atom_site_fract_y
_atom_site_fract_z
Ir1 Ir 0.114 0.114 0.114
Ir2 Ir 0.114 0.886 0.886
Ir3 Ir 0.386 0.386 0.614
Ir4 Ir 0.386 0.614 0.386
Ir5 Ir 0.614 0.386 0.386
Ir6 Ir 0.614 0.614 0.614
Ir7 Ir 0.886 0.114 0.886
Ir8 Ir 0.886 0.886 0.114
Au1 Au 0.204 0.204 0.796
Au2 Au 0.204 0.796 0.204
Au3 Au 0.296 0.296 0.296
Au4 Au 0.296 0.704 0.704
Au5 Au 0.704 0.296 0.704
Au6 Au 0.704 0.704 0.296
Au7 Au 0.796 0.204 0.204
Au8 Au 0.796 0.796 0.796
```

calculated density	10.350	g/cm³
SG	I-43m
E above lowest polymorph	1116	meV per atom
total moment	0.0	μB/cell
E_form	1.30	eV/atom


Record 3
A geometry-optimized KSb2Te structure. Source: Alexandria via LeMat-Bulk, functional PBE.

Cell and atoms, written as CIF:
```
data_KSb2Te
_chemical_formula_sum 'K1 Sb2 Te1'
_cell_length_a 3.267
_cell_length_b 4.361
_cell_length_c 9.238
_cell_angle_alpha 90.00
_cell_angle_beta 90.03
_cell_angle_gamma 90.00
_symmetry_space_group_name_H-M 'P 1'
_symmetry_Int_Tables_number 1
loop_
_symmetry_equiv_pos_as_xyz
'x,y,z'
loop_
_atom_site_label
_atom_site_type_symbol
_atom_site_fract_x
_atom_site_fract_y
_atom_site_fract_z
K1 K 0.000 0.000 0.000
Sb1 Sb 0.500 0.000 0.493
Sb2 Sb 0.502 0.500 0.274
Te1 Te 0.498 0.500 0.752
```

calculated density	5.174	g/cm³
SG	Pm
total moment	0.0	μB/cell
electronic total energy	-13.5	eV/cell


Record 4
A geometry-optimized Th2Mg2Ni15 structure. Source: Alexandria via LeMat-Bulk, functional PBE.

Cell and atoms, written as CIF:
```
data_Th2Mg2Ni15
_chemical_formula_sum 'Th2 Mg2 Ni15'
_cell_length_a 6.397
_cell_length_b 6.397
_cell_length_c 6.397
_cell_angle_alpha 82.20
_cell_angle_beta 82.20
_cell_angle_gamma 82.20
_symmetry_space_group_name_H-M 'P 1'
_symmetry_Int_Tables_number 1
loop_
_symmetry_equiv_pos_as_xyz
'x,y,z'
loop_
_atom_site_label
_atom_site_type_symbol
_atom_site_fract_x
_atom_site_fract_y
_atom_site_fract_z
Th1 Th 0.150 0.150 0.150
Th2 Th 0.850 0.850 0.850
Mg1 Mg 0.399 0.399 0.399
Mg2 Mg 0.601 0.601 0.601
Ni1 Ni 0.000 0.500 0.500
Ni2 Ni 0.155 0.155 0.658
Ni3 Ni 0.155 0.658 0.155
Ni4 Ni 0.197 0.500 0.803
Ni5 Ni 0.197 0.803 0.500
Ni6 Ni 0.342 0.845 0.845
Ni7 Ni 0.500 0.000 0.500
Ni8 Ni 0.500 0.197 0.803
Ni9 Ni 0.500 0.500 0.000
Ni10 Ni 0.500 0.803 0.197
Ni11 Ni 0.658 0.155 0.155
Ni12 Ni 0.803 0.197 0.500
Ni13 Ni 0.803 0.500 0.197
Ni14 Ni 0.845 0.342 0.845
Ni15 Ni 0.845 0.845 0.342
```

calculated density	9.068	g/cm³
SG	R-3m
total moment	2.1	μB/cell
E_form	-0.27	eV/atom